No. 1
# YZrAl2 | the Alexandria database | PBE-GGA | relaxed
# **Polymorph energy (0 for the lowest one)**: 485 meV/atom
# **Mass density**: 4.6 g/cm3
# **DFT formation energy**: 0.09 eV per atom
# **DOS at the Fermi energy**: 17.8 states/eV/cell
data_YZrAl2
_cell_length_a 6.965
_cell_length_b 6.965
_cell_length_c 6.965
_cell_angle_alpha 90.00
_cell_angle_beta 90.00
_cell_angle_gamma 90.00
_space_group_name_H-M_alt 'F -4 3 m'
_space_group_IT_number 216
_space_group_name_Hall 'F -4 2 3'
loop_
_atom_site_label
_atom_site_type_symbol
_atom_site_fract_x
_atom_site_fract_y
_atom_site_fract_z
Y1 Y 0.000 0.000 0.000
Zr1 Zr 0.250 0.250 0.250
Al1 Al 0.000 0.000 0.500
Al2 Al 0.250 0.250 0.750


No. 2
# FePd | the Alexandria database | PBE-GGA | relaxed
# **Mass density**: 9.9 g/cm3
# **DFT formation energy**: 0.38 eV per atom
# **DOS at the Fermi energy**: 18.7 states/eV/cell
data_FePd
_cell_length_a 7.282
_cell_length_b 7.282
_cell_length_c 4.114
_cell_angle_alpha 90.00
_cell_angle_beta 90.00
_cell_angle_gamma 90.00
_space_group_name_H-M_alt 'I 4/m m m'
_space_group_IT_number 139
_space_group_name_Hall '-I 4 2'
loop_
_atom_site_label
_atom_site_type_symbol
_atom_site_fract_x
_atom_site_fract_y
_atom_site_fract_z
Fe1 Fe 0.145 0.145 0.000
Pd1 Pd 0.000 0.299 0.500


No. 3
# NaNiN | the Alexandria database | PBE-GGA | relaxed
# **Polymorph energy (0 for the lowest one)**: 107 meV/atom
# **Mass density**: 4.1 g/cm3
# **DOS at the Fermi energy**: 2.7 states/eV/cell
data_NaNiN
_cell_length_a 3.2159
_cell_length_b 3.2159
_cell_length_c 4.3353
_cell_angle_alpha 90.00
_cell_angle_beta 90.00
_cell_angle_gamma 120.00
_space_group_name_H-M_alt 'P -6 m 2'
_space_group_IT_number 187
_space_group_name_Hall 'P -6 2'
loop_
_atom_site_label
_atom_site_type_symbol
_atom_site_fract_x
_atom_site_fract_y
_atom_site_fract_z
Na1 Na 0.0000 0.0000 0.0000
Ni1 Ni 0.6667 0.3333 0.5000
N1 N 0.3333 0.6667 0.5000


No. 4
# Zn2InRe | the Alexandria database | PBE-GGA | relaxed
# **Mass density**: 10.7 g/cm3
# **DFT formation energy**: 0.41 eV per atom
# **DOS at the Fermi energy**: 3.7 states/eV/cell
data_Zn2InRe
_cell_length_a 3.391
_cell_length_b 3.391
_cell_length_c 5.802
_cell_angle_alpha 90.00
_cell_angle_beta 90.00
_cell_angle_gamma 90.00
_space_group_name_H-M_alt 'P 4/m m m'
_space_group_IT_number 123
_space_group_name_Hall '-P 4 2'
loop_
_atom_site_label
_atom_site_type_symbol
_atom_site_fract_x
_atom_site_fract_y
_atom_site_fract_z
Zn1 Zn 0.000 0.000 0.214
In1 In 0.500 0.500 0.500
Re1 Re 0.500 0.500 0.000


No. 5
# Tm3MgPb3 | the Alexandria database | PBE-GGA | relaxed
# **Polymorph energy (0 for the lowest one)**: 165 meV/atom
# **Mass density**: 8.4 g/cm3
# **DFT formation energy**: -0.17 eV per atom
# **DOS at the Fermi energy**: 6.2 states/eV/cell
data_Tm3MgPb3
_cell_length_a 9.2416
_cell_length_b 9.2416
_cell_length_c 6.1538
_cell_angle_alpha 90.00
_cell_angle_beta 90.00
_cell_angle_gamma 120.00
_space_group_name_H-M_alt 'P 63/m'
_space_group_IT_number 176
_space_group_name_Hall '-P 6c'
loop_
_atom_site_label
_atom_site_type_symbol
_atom_site_fract_x
_atom_site_fract_y
_atom_site_fract_z
Tm1 Tm 0.0380 0.3541 0.2500
Mg1 Mg 0.3333 0.6667 0.7500
Pb1 Pb 0.0297 0.3433 0.7500


No. 6
# Ru3Au | the Alexandria database | PBE-GGA | relaxed
# **Polymorph energy (0 for the lowest one)**: 220 meV/atom
# **Mass density**: 14.0 g/cm3
# **DFT formation energy**: 0.39 eV per atom
# **DOS at the Fermi energy**: 9.3 states/eV/cell
data_Ru3Au
_cell_length_a 5.503
_cell_length_b 7.760
_cell_length_c 2.775
_cell_angle_alpha 90.00
_cell_angle_beta 90.00
_cell_angle_gamma 90.00
_space_group_name_H-M_alt 'C m m m'
_space_group_IT_number 65
_space_group_name_Hall '-C 2 2'
loop_
_atom_site_label
_atom_site_type_symbol
_atom_site_fract_x
_atom_site_fract_y
_atom_site_fract_z
Ru1 Ru 0.000 0.000 0.000
Ru2 Ru 0.250 0.250 0.500
Au1 Au 0.000 0.500 0.000


No. 7
# Pr2TmMg | the Alexandria database | PBE-GGA | relaxed
# **Polymorph energy (0 for the lowest one)**: 0 meV/atom
# **Mass density**: 6.2 g/cm3
# **DFT formation energy**: -0.03 eV per atom
# **DOS at the Fermi energy**: 5.5 states/eV/cell
data_Pr2TmMg
_cell_length_a 3.743
_cell_length_b 3.743
_cell_length_c 9.038
_cell_angle_alpha 90.00
_cell_angle_beta 90.00
_cell_angle_gamma 90.00
_space_group_name_H-M_alt 'P 4/m m m'
_space_group_IT_number 123
_space_group_name_Hall '-P 4 2'
loop_
_atom_site_label
_atom_site_type_symbol
_atom_site_fract_x
_atom_site_fract_y
_atom_site_fract_z
Pr1 Pr 0.000 0.000 0.234
Tm1 Tm 0.500 0.500 0.500
Mg1 Mg 0.500 0.500 0.000


No. 8
# Rb2MnNiCl6 | the Alexandria database | PBE-GGA | relaxed
# **Polymorph energy (0 for the lowest one)**: 48 meV/atom
# **Mass density**: 3.5 g/cm3
# **DOS at the Fermi energy**: 0.0 states/eV/cell
data_Rb2MnNiCl6
_cell_length_a 7.186
_cell_length_b 7.186
_cell_length_c 9.094
_cell_angle_alpha 90.00
_cell_angle_beta 90.00
_cell_angle_gamma 90.00
_space_group_name_H-M_alt 'I 4/m m m'
_space_group_IT_number 139
_space_group_name_Hall '-I 4 2'
loop_
_atom_site_label
_atom_site_type_symbol
_atom_site_fract_x
_atom_site_fract_y
_atom_site_fract_z
Rb1 Rb 0.000 0.500 0.250
Mn1 Mn 0.000 0.000 0.000
Ni1 Ni 0.000 0.000 0.500
Cl1 Cl 0.000 0.000 0.253
Cl2 Cl 0.248 0.248 0.500